[1]
Here is crystalline TaFeAs at its relaxed geometry from OQMD via LeMat-Bulk. Energies are from PBE.

Cell lengths 6.2882, 3.7475, 7.1065 Å; angles 90.00, 90.00, 90.00 degrees
Last column: nearest neighbours and their distance in Å.
Sites, in units of the cell vectors:
As 0.7732 0.2500 0.6197  4 Fe 2.34-2.40
Fe 0.1418 0.2500 0.5637  4 As 2.34-2.40
As 0.2268 0.7500 0.3803  4 Fe 2.34-2.40
Ta 0.5209 0.2500 0.3209  5 As 2.65-2.69, 6 Fe 2.81-2.95
Fe 0.8582 0.7500 0.4363  4 As 2.34-2.40
Ta 0.4791 0.7500 0.6791  5 As 2.65-2.69, 6 Fe 2.81-2.95
As 0.7268 0.7500 0.1197  4 Fe 2.34-2.40
As 0.2732 0.2500 0.8803  4 Fe 2.34-2.40
Fe 0.6418 0.2500 0.9363  4 As 2.34-2.40
Ta 0.0209 0.2500 0.1791  5 As 2.65-2.69, 6 Fe 2.81-2.95
Fe 0.3582 0.7500 0.0637  4 As 2.34-2.40
Ta 0.9791 0.7500 0.8209  5 As 2.65-2.69, 6 Fe 2.81-2.95

Values from the calculation:
- Energy: -104.1 eV/cell
- Space-group type: No. 62

[2]
Here is crystalline LiBe2Ir at its relaxed geometry from OQMD via LeMat-Bulk. Energies are from PBE.

Cell lengths 3.8798, 3.8798, 6.6693 Å; angles 90.00, 90.00, 120.00 degrees
Last column: nearest neighbours and their distance in Å.
Sites, in units of the cell vectors:
Li 0.6667 0.3333 0.7500  2 Be 2.18
Li 0.3333 0.6667 0.2500  2 Be 2.18
Be 0.6667 0.3333 0.0772  1 Li 2.18, 3 Ir 2.30, 1 Be 2.30
Be 0.3333 0.6667 0.5772  1 Li 2.18, 3 Ir 2.30, 1 Be 2.30
Be 0.6667 0.3333 0.4228  1 Li 2.18, 3 Ir 2.30, 1 Be 2.30
Ir 0.0000 0.0000 0.5000  6 Be 2.30
Be 0.3333 0.6667 0.9228  1 Li 2.18, 3 Ir 2.30, 1 Be 2.30
Ir 0.0000 0.0000 0.0000  6 Be 2.30

Values from the calculation:
- Energy: -37.7 eV/cell
- Space-group type: No. 194

Ordered spin magnetization results: 0.0, 0.0; unit μB/f.u..